## La5Nd5Mg2 (PBE)

Data for a relaxed structure of La5Nd5Mg2.

Cell: 9.428 9.428 13.423 Å, 117.54 117.54 23.00°
Positions (direct):
La1 0.000 0.000 0.000
La2 0.121 0.121 0.755
La3 0.162 0.162 0.489
La4 0.838 0.838 0.511
La5 0.879 0.879 0.245
Nd1 0.203 0.203 0.256
Nd2 0.330 0.330 0.989
Nd3 0.500 0.500 0.500
Nd4 0.670 0.670 0.011
Nd5 0.797 0.797 0.744
Mg1 0.462 0.462 0.757
Mg2 0.538 0.538 0.243

Summary:
- V (Å³ per cell) = 411
- formation enthalpy at 0 K (meV per atom) = -5
- magnetization (μB per atom) = 0.0000
- DOS at the Fermi energy (states/eV per atom) = 1.3777